1.
The following is a PBE calculation of a geometry-optimized BaZnSi2 structure, from Alexandria.

Summary:
symmetry	P2/m (10)
Fermi-level density of states	1.4	states/eV/cell
ΔE_f (raw)	-0.09	eV per atom
calculated density	4.4	g/cm3
size of the total moment	0.00	μB/f.u.

Unit cell a=3.9524 b=4.1904 c=6.0876 alpha=90.00 beta=101.90 gamma=90.00
Last column: nearest neighbours and their distance in Å.
Element x y z (fractional)
Ba 0.0000 0.0000 0.0000  2 Zn 3.27, 4 Si 3.40
Zn 0.5000 0.0000 0.5000  4 Si 2.47
Si 0.2796 0.5000 0.6347  2 Si 2.47-2.63, 2 Zn 2.47
Si 0.7204 0.5000 0.3653  2 Si 2.47-2.63, 2 Zn 2.47

2.
The following is a PBE calculation of a geometry-optimized MgNbMoW2 structure, from Alexandria.

Summary:
energy relative to the elements	1.6112	eV/atom
symmetry	P4/mmm (123)
Fermi-level density of states	6.2	states/eV/cell
calculated density	8.7	g/cm3
size of the total moment	0.00	μB/f.u.

Unit cell a=4.7922 b=4.7922 c=4.8154 alpha=90.00 beta=90.00 gamma=90.00
Last column: nearest neighbours and their distance in Å.
Element x y z (fractional)
Mg 0.0000 0.0000 0.0000  4 Nb 3.39, 8 W 3.40
Nb 0.5000 0.5000 0.0000  2 Mo 2.41
Mo 0.5000 0.5000 0.5000  4 W 2.40, 2 Nb 2.41
W 0.0000 0.5000 0.5000  2 Mo 2.40
W 0.5000 0.0000 0.5000  2 Mo 2.40